A geometry-optimized CoTe2Pd2 structure, computed with PBE-GGA.

```
10
Lattice="6.946 0.007 0.001 2.089 6.625 -0.001 -4.070 -3.925 4.034" Properties=species:S:1:pos:R:3 pbc="T T T"
Te 1.920 0.115 0.866
Te -1.676 -0.448 2.883
Te 3.045 2.591 3.168
Te 6.641 3.153 1.151
Pd 2.188 4.481 1.483
Pd 1.025 0.612 3.500
Pd 3.941 2.093 0.534
Pd 2.777 -1.775 2.552
Co -1.486 2.024 3.025
Co -0.495 0.675 1.008
```

Density of states at the Fermi level (states/eV/f.u.): 2.2
Energy above the most stable polymorph in this dataset (kcal/mol of atoms): 0.00
Formation energy (no corrections) (eV per atom): -0.29
Magnetization (μB per cell): 0.000



A geometry-optimized CoTe6Pd3 structure, computed with PBE-GGA.

```
20
Lattice="7.961 0.083 0.085 -0.090 7.961 0.085 -0.090 -0.092 7.961" Properties=species:S:1:pos:R:3 pbc="T T T"
Pd 0.559 1.909 4.419
Pd 7.224 6.044 3.712
Pd 1.897 4.405 0.698
Pd 3.419 7.299 6.125
Pd 5.886 3.548 7.433
Pd 4.363 0.654 2.007
Te 3.210 1.513 4.323
Te 5.448 0.661 7.488
Te 1.443 4.250 3.337
Te 4.572 6.440 3.809
Te 3.565 4.651 6.523
Te 0.431 2.344 7.305
Te 2.334 7.292 0.644
Te 0.542 7.365 5.626
Te 7.351 5.609 0.827
Te 4.217 3.302 1.608
Te 6.339 3.703 4.794
Te 7.240 0.588 2.505
Co 3.891 3.976 4.066
Co 0.000 0.000 0.000
```

Density of states at the Fermi level (states/eV/f.u.): 7.4
Energy above the most stable polymorph in this dataset (kcal/mol of atoms): 0.00
Formation energy (no corrections) (eV per atom): -0.22
Magnetization (μB per cell): 0.000



A geometry-optimized CoTe2Pd2 structure, computed with PBE-GGA.

```
10
Lattice="3.902 0.000 -0.525 -0.071 3.902 -0.525 -0.302 -0.308 12.512" Properties=species:S:1:pos:R:3 pbc="T T T"
Te 2.525 2.571 4.000
Te 1.004 1.023 7.462
Te 2.149 0.201 1.206
Te 3.367 1.442 10.256
Co 1.916 1.951 -0.525
Co 2.758 0.822 5.731
Pd 2.975 3.029 7.343
Pd 0.554 0.565 4.118
Pd 1.326 3.337 9.849
Pd 0.217 2.208 1.612
```

Density of states at the Fermi level (states/eV/f.u.): 2.8
Energy above the most stable polymorph in this dataset (kcal/mol of atoms): 3.11
Formation energy (no corrections) (eV per atom): -0.16
Magnetization (μB per cell): 0.000



A geometry-optimized CoTe4Pd structure, computed with PBE-GGA.

```
6
Lattice="3.921 0.000 0.000 0.000 5.319 0.403 0.000 -0.636 6.911" Properties=species:S:1:pos:R:3 pbc="T T T"
Pd 1.960 -0.318 3.456
Te 0.000 1.128 2.282
Te 1.960 0.767 5.994
Te 0.000 3.555 5.032
Te 1.960 3.916 1.320
Co 0.000 0.000 0.000
```

Density of states at the Fermi level (states/eV/f.u.): 3.0
Formation energy (no corrections) (eV per atom): -0.27
Magnetization (μB per cell): 0.000